(P)
The following is a PBE calculation of a geometry-optimized NbVHIr2 structure, from Alexandria via LeMat-Bulk.

- M_tot (μB/cell) = 0.00
- space-group type = P4/mmm
- theoretical density (Mg/m³) = 14.1

a b c (Å): 3.9574 3.9574 3.9771
angles (deg): 90.00 90.00 90.00
Sites, in units of the cell vectors:
Nb 0.0000 0.0000 0.0000
V 0.5000 0.5000 0.0000
H 0.5000 0.5000 0.5000
Ir 0.0000 0.5000 0.5000
Ir 0.5000 0.0000 0.5000

=====

(Q)
The following is a PBE calculation of a geometry-optimized NbVHIr2 structure, from Alexandria via LeMat-Bulk.

- M_tot (μB/cell) = 0.76
- space-group type = P4/mmm
- theoretical density (Mg/m³) = 8.2

a b c (Å): 4.7793 4.7793 4.6775
angles (deg): 90.00 90.00 90.00
Sites, in units of the cell vectors:
Nb 0.0000 0.0000 0.0000
V 0.0000 0.0000 0.5000
H 0.5000 0.5000 0.5000
Ir 0.0000 0.5000 0.0000
Ir 0.5000 0.0000 0.0000

=====

Energies in kJ/mol of atoms, measured from the most stable structure: (P) 0.0; (Q) 239.1.

=====

(P)
The following is a PBE calculation of a geometry-optimized NbV2HIr structure, from Alexandria via LeMat-Bulk.

- M_tot (μB/cell) = 0.00
- space-group type = P4/mmm
- theoretical density (Mg/m³) = 10.3

a b c (Å): 4.1910 4.1910 3.5509
angles (deg): 90.00 90.00 90.00
Sites, in units of the cell vectors:
Nb 0.0000 0.0000 0.0000
V 0.0000 0.5000 0.5000
V 0.5000 0.0000 0.5000
H 0.5000 0.5000 0.5000
Ir 0.5000 0.5000 0.0000

=====

(Q)
The following is a PBE calculation of a geometry-optimized NbV2HIr structure, from Alexandria via LeMat-Bulk.

- M_tot (μB/cell) = 0.00
- space-group type = P4/mmm
- theoretical density (Mg/m³) = 10.4

a b c (Å): 3.8355 3.8355 4.2186
angles (deg): 90.00 90.00 90.00
Sites, in units of the cell vectors:
Nb 0.0000 0.0000 0.0000
V 0.0000 0.5000 0.5000
V 0.5000 0.0000 0.5000
H 0.0000 0.0000 0.5000
Ir 0.5000 0.5000 0.0000

=====

Energies in kJ/mol of atoms, measured from the most stable structure: (P) 3.7; (Q) 0.0.

=====

(P)
The following is a PBE calculation of a geometry-optimized NbHIr2W structure, from Alexandria via LeMat-Bulk.

- M_tot (μB/cell) = 0.00
- space-group type = P4/mmm
- theoretical density (Mg/m³) = 17.0

a b c (Å): 3.9701 3.9701 4.1005
angles (deg): 90.00 90.00 90.00
Sites, in units of the cell vectors:
Nb 0.0000 0.0000 0.0000
H 0.5000 0.5000 0.5000
Ir 0.0000 0.5000 0.5000
Ir 0.5000 0.0000 0.5000
W 0.5000 0.5000 0.0000

=====

(Q)
The following is a PBE calculation of a geometry-optimized NbHIr2W structure, from Alexandria via LeMat-Bulk.

- M_tot (μB/cell) = 0.00
- space-group type = P4/mmm
- theoretical density (Mg/m³) = 17.0

a b c (Å): 3.9593 3.9593 4.1165
angles (deg): 90.00 90.00 90.00
Sites, in units of the cell vectors:
Nb 0.0000 0.0000 0.0000
H 0.0000 0.0000 0.5000
Ir 0.0000 0.5000 0.5000
Ir 0.5000 0.0000 0.5000
W 0.5000 0.5000 0.0000

=====

Energies in kJ/mol of atoms, measured from the most stable structure: (P) 1.1; (Q) 0.0.